Entry 1:
Tm2Zn3Ag2 (PBE, relaxed); calculated formation energy = -0.2904 eV/atom; symmetry = No. 12
1.0
-2.250 -2.587 -2.975
4.314 -2.383 2.273
-5.155 -0.292 4.153
Tm Zn Ag
2 3 2
Cartesian
-2.967 -1.324 3.395
-0.124 -3.938 0.056
-2.674 -2.142 0.422
-1.125 -1.293 -1.487
-0.418 -3.119 3.028
-2.879 -4.128 2.304
-0.212 -1.134 1.147

Entry 2:
SiMo2Rh (PBE, relaxed); symmetry = No. 122
1.0
-3.068 -5.175 -3.406
3.453 1.728 -5.735
2.151 -3.340 -3.878
Rh Mo Si
2 4 2
Cartesian
-0.362 -5.120 -5.928
0.000 0.000 0.000
1.803 -3.775 -6.412
2.272 -0.470 -5.024
-0.908 -3.786 -3.771
1.905 -5.544 -10.832
2.898 -1.668 -7.092
0.193 -1.724 -4.571

Entry 3:
BTe2W (PBE, relaxed); symmetry = No. 166
1.0
1.922 0.000 8.228
-0.961 1.664 8.228
-0.961 -1.664 8.228
Te B W
2 1 1
Cartesian
0.000 0.000 22.054
0.000 0.000 2.631
0.000 0.000 12.342
0.000 0.000 0.000

Entry 4:
LaHfP2H (PBE, relaxed); symmetry = No. 123
1.0
-1.198 -4.477 1.722
-0.357 -1.194 -3.352
4.771 -1.295 -0.047
La P H Hf
1 2 1 1
Cartesian
1.608 -3.483 -0.839
2.385 -0.647 -0.024
-0.599 -2.238 0.861
0.000 0.000 0.000
-0.178 -0.597 -1.676

Mass density list, top to bottom, in g/cm3: 9.0, 8.5, 9.5, 7.2
Calculated total energy list, top to bottom, in eV/atom: -2.929, -8.328, -5.173, -6.326
Calculated volume list, top to bottom, in Å³/cell: 137.71, 125.82, 78.96, 87.40